Ba2CdB2S6 PBE relaxed; uncorrected energy = -54.87 eV per cell; symmetry = C2/m, No. 12
1.0
6.484 0.000 0.000
-3.242 5.847 -0.061
0.000 -3.439 7.037
Ba Cd B S
2 1 2 6
Direct
0.702 0.404 0.207
0.298 0.596 0.793
0.500 0.000 0.500
0.957 0.915 0.739
0.043 0.085 0.261
0.787 0.575 0.664
0.192 0.902 0.212
0.291 0.098 0.788
0.808 0.098 0.788
0.709 0.902 0.212
0.213 0.425 0.336


BaCdTcB2 PBE relaxed; uncorrected energy = -17.76 eV per cell; symmetry = P4/mmm, No. 123; Fermi-level density of states = 3.858 states/eV per cell; energy of formation = 1.76 eV/atom
1.0
4.525 0.000 0.000
0.000 4.525 0.000
0.000 0.000 5.334
Tc B Ba Cd
1 2 1 1
Direct
0.000 0.000 0.500
0.000 0.500 0.000
0.500 0.000 0.000
0.500 0.500 0.500
0.000 0.000 0.000


BaCeBN3 PBE relaxed; uncorrected energy = -92.24 eV per cell; symmetry = P6_3/mmc, No. 194; Fermi-level density of states = 3.021 states/eV per cell
1.0
-5.058 2.403 -1.371
2.977 -2.921 -3.981
-2.985 -5.327 1.676
Ba Ce B N
2 2 2 6
Direct
0.667 0.333 0.250
0.333 0.667 0.750
0.000 0.000 0.500
0.000 0.000 0.000
0.333 0.667 0.250
0.667 0.333 0.750
0.816 0.184 0.750
0.184 0.368 0.250
0.368 0.184 0.750
0.632 0.816 0.250
0.816 0.632 0.750
0.184 0.816 0.250


Ba2CeBO6 PBE relaxed; uncorrected energy = -68.19 eV per cell; symmetry = P-3m1, No. 164; Fermi-level density of states = 6.736 states/eV per cell
1.0
5.382 0.000 0.000
0.000 5.901 0.000
0.000 -2.950 5.110
Ba Ce B O
2 1 1 6
Direct
0.147 0.333 0.667
0.853 0.667 0.333
0.500 0.000 0.000
0.000 0.000 0.000
0.809 0.142 0.283
0.809 0.142 0.858
0.809 0.717 0.858
0.191 0.858 0.142
0.191 0.283 0.142
0.191 0.858 0.717


BaCe3B4O12 PBE relaxed; uncorrected energy = -165.14 eV per cell; symmetry = R32, No. 155; Fermi-level density of states = 9.886 states/eV per cell
1.0
6.774 0.156 0.217
-1.480 6.612 0.217
-1.480 -1.893 6.339
Ba Ce B O
1 3 4 12
Direct
0.000 0.000 0.000
0.536 0.464 0.000
0.464 0.000 0.536
0.000 0.536 0.464
0.960 0.040 0.500
0.040 0.500 0.960
0.500 0.960 0.040
0.500 0.500 0.500
0.500 0.367 0.633
0.906 0.500 0.094
0.094 0.906 0.500
0.500 0.094 0.906
0.391 0.983 0.192
0.192 0.391 0.983
0.983 0.192 0.391
0.609 0.808 0.017
0.017 0.609 0.808
0.808 0.017 0.609
0.633 0.500 0.367
0.367 0.633 0.500


BaCeBS4 PBE relaxed; uncorrected energy = -83.17 eV per cell; symmetry = P2_1/m, No. 11; Fermi-level density of states = 10.729 states/eV per cell
1.0
6.041 0.000 -0.180
0.000 6.465 0.000
-2.598 0.000 8.274
Ba Ce B S
2 2 2 8
Direct
0.700 0.750 0.919
0.300 0.250 0.081
0.788 0.750 0.457
0.212 0.250 0.543
0.196 0.750 0.301
0.804 0.250 0.699
0.002 0.492 0.745
0.998 0.992 0.255
0.998 0.508 0.255
0.002 0.008 0.745
0.398 0.750 0.166
0.602 0.250 0.834
0.359 0.750 0.538
0.641 0.250 0.462


Ba2CeB2S6 PBE relaxed; uncorrected energy = -62.18 eV per cell; symmetry = C2/m, No. 12; Fermi-level density of states = 7.194 states/eV per cell
1.0
-0.408 -3.176 5.730
-0.370 -3.450 -5.698
7.522 2.732 2.050
Ba Ce B S
2 1 2 6
Direct
0.710 0.420 0.208
0.290 0.580 0.792
0.500 0.000 0.500
0.952 0.905 0.742
0.048 0.095 0.258
0.772 0.544 0.641
0.196 0.910 0.195
0.285 0.090 0.805
0.804 0.090 0.805
0.715 0.910 0.195
0.228 0.456 0.359


BaCeB2S6 PBE relaxed; uncorrected energy = -114.67 eV per cell; symmetry = C2/c, No. 15
1.0
-1.223 7.013 3.067
1.118 -4.137 6.459
7.994 0.664 -3.336
Ba Ce B S
2 2 4 12
Direct
0.156 0.844 0.250
0.844 0.156 0.750
0.585 0.415 0.250
0.415 0.585 0.750
0.353 0.138 0.718
0.862 0.647 0.782
0.647 0.862 0.282
0.138 0.353 0.218
0.908 0.375 0.150
0.625 0.092 0.350
0.092 0.625 0.850
0.375 0.908 0.650
0.221 0.188 0.089
0.812 0.779 0.411
0.779 0.812 0.911
0.188 0.221 0.589
0.309 0.524 0.391
0.476 0.691 0.109
0.691 0.476 0.609
0.524 0.309 0.891


BaB3Cl PBE relaxed; uncorrected energy = -10.32 eV per cell; symmetry = Pm-3m, No. 221; Fermi-level density of states = 6.449 states/eV per cell; distance to the lowest polymorph of the same formula = 788 meV/atom
1.0
5.512 0.000 0.000
0.000 5.512 0.000
0.000 0.000 5.512
B Ba Cl
3 1 1
Direct
0.000 0.500 0.000
0.000 0.000 0.500
0.500 0.000 0.000
0.000 0.000 0.000
0.500 0.500 0.500


BaB3Cl PBE relaxed; uncorrected energy = -14.26 eV per cell; symmetry = Pm-3m, No. 221; Fermi-level density of states = 3.329 states/eV per cell; distance to the lowest polymorph of the same formula = 0 meV/atom
1.0
-0.759 2.454 3.931
-2.954 -3.326 1.506
3.571 -2.229 2.081
B Ba Cl
3 1 1
Direct
0.000 0.500 0.000
0.000 0.000 0.500
0.500 0.000 0.000
0.500 0.500 0.500
0.000 0.000 0.000


BaB2Cl8 PBE relaxed; uncorrected energy = -44.75 eV per cell; symmetry = C2/m, No. 12; Fermi-level density of states = 0.000 states/eV per cell; distance to the lowest polymorph of the same formula = 0 meV/atom
1.0
6.285 0.704 0.534
0.934 7.899 0.095
0.934 2.219 7.582
Ba B Cl
1 2 8
Direct
0.000 0.000 0.000
0.687 0.789 0.789
0.313 0.211 0.211
0.266 0.298 0.971
0.734 0.029 0.702
0.393 0.785 0.785
0.607 0.215 0.215
0.266 0.971 0.298
0.734 0.702 0.029
0.869 0.652 0.652
0.131 0.348 0.348


Ba2BCl PBE relaxed; uncorrected energy = -13.42 eV per cell; symmetry = Fm-3m, No. 225; Fermi-level density of states = 3.653 states/eV per cell; distance to the lowest polymorph of the same formula = 69 meV/atom
1.0
0.000 3.871 3.871
3.871 0.000 3.871
3.871 3.871 0.000
B Ba Cl
1 2 1
Direct
0.000 0.000 0.000
0.250 0.250 0.250
0.750 0.750 0.750
0.500 0.500 0.500